Entry from the Alexandria database: a relaxed MnTeI2N crystal (PBE).

Summary:
Crystal system: tetragonal
Formation energy (no corrections), kcal/mol of atoms: 23.2

a b c (Å): 4.879 4.879 5.133
angles (deg): 90.00 90.00 90.00
Fractional coordinates of all 5 atoms:
Mn 0.500 0.500 0.500
N 0.000 0.000 0.000
I 0.500 0.000 0.000
I 0.000 0.500 0.000
Te 0.000 0.000 0.500